[1]
A relaxed structure of LaYMg3. Source: the Alexandria database, functional GGA-PBE.

Calculated values
Polymorph energy (0 for the lowest one) = 0 meV/atom
D(E_F) = 1.00 states/eV/atom
DFT total energy = -3.299 eV per atom
Symmetry = Imma, No. 74
Crystal system = orthorhombic

Cell: 11.384 11.384 11.384 Å, 152.89 64.46 122.76°
Element x y z (fractional)
1 La 0.166 0.118 0.048
2 La 0.431 0.882 0.548
3 La 0.569 0.118 0.452
4 La 0.834 0.882 0.952
5 Y 0.134 0.384 0.750
6 Y 0.365 0.115 0.250
7 Y 0.635 0.885 0.750
8 Y 0.866 0.616 0.250
9 Mg 0.003 0.859 0.144
10 Mg 0.034 0.599 0.435
11 Mg 0.215 0.859 0.356
12 Mg 0.292 0.635 0.657
13 Mg 0.336 0.401 0.935
14 Mg 0.478 0.635 0.843
15 Mg 0.522 0.365 0.157
16 Mg 0.664 0.599 0.065
17 Mg 0.708 0.365 0.343
18 Mg 0.785 0.141 0.644
19 Mg 0.966 0.401 0.565
20 Mg 0.997 0.141 0.856

[2]
A relaxed structure of LaYMg. Source: the Alexandria database, functional GGA-PBE.

Calculated values
Polymorph energy (0 for the lowest one) = 0 meV/atom
D(E_F) = 1.12 states/eV/atom
DFT total energy = -4.387 eV per atom
Symmetry = Cmcm, No. 63
Crystal system = orthorhombic

Cell: 6.941 6.941 5.410 Å, 90.00 90.00 134.10°
Element x y z (fractional)
1 La 0.090 0.910 0.750
2 La 0.910 0.090 0.250
3 Y 0.402 0.598 0.750
4 Y 0.598 0.402 0.250
5 Mg 0.249 0.751 0.250
6 Mg 0.751 0.249 0.750

[3]
A relaxed structure of La14YMg. Source: the Alexandria database, functional GGA-PBE.

Calculated values
D(E_F) = 1.39 states/eV/atom
DFT total energy = -4.789 eV per atom
Symmetry = Amm2, No. 38
Crystal system = orthorhombic

Cell: 11.446 7.166 7.166 Å, 77.15 90.00 90.00°
Element x y z (fractional)
1 La 0.000 0.000 0.000
2 La 0.000 0.410 0.410
3 La 0.000 0.491 0.923
4 La 0.000 0.923 0.491
5 La 0.243 0.780 0.780
6 La 0.254 0.273 0.703
7 La 0.254 0.703 0.273
8 La 0.260 0.205 0.205
9 La 0.500 0.497 0.933
10 La 0.500 0.933 0.497
11 La 0.740 0.205 0.205
12 La 0.746 0.273 0.703
13 La 0.746 0.703 0.273
14 La 0.757 0.780 0.780
15 Y 0.500 0.983 0.983
16 Mg 0.500 0.441 0.441

[4]
A relaxed structure of La2YMg. Source: the Alexandria database, functional GGA-PBE.

Calculated values
D(E_F) = 1.51 states/eV/atom
DFT total energy = -4.465 eV per atom
Symmetry = I-4m2, No. 119
Crystal system = tetragonal

Cell: 6.254 6.254 6.254 Å, 132.82 132.82 68.93°
Element x y z (fractional)
1 La 0.000 0.000 0.000
2 La 0.750 0.250 0.500
3 Y 0.500 0.500 0.000
4 Mg 0.250 0.750 0.500

[5]
A relaxed structure of La2Y2Mg. Source: the Alexandria database, functional GGA-PBE.

Calculated values
Polymorph energy (0 for the lowest one) = 207 meV/atom
D(E_F) = 0.87 states/eV/atom
DFT total energy = -4.649 eV per atom
Symmetry = P4/mbm, No. 127
Crystal system = tetragonal

Cell: 8.855 8.855 4.212 Å, 90.00 90.00 90.00°
Element x y z (fractional)
1 La 0.127 0.373 0.000
2 La 0.373 0.873 0.000
3 La 0.627 0.127 0.000
4 La 0.873 0.627 0.000
5 Y 0.177 0.677 0.500
6 Y 0.323 0.177 0.500
7 Y 0.677 0.823 0.500
8 Y 0.823 0.323 0.500
9 Mg 0.000 0.000 0.000
10 Mg 0.500 0.500 0.000

[6]
A relaxed structure of LaYMg17. Source: the Alexandria database, functional GGA-PBE.

Calculated values
D(E_F) = 0.44 states/eV/atom
DFT total energy = -2.076 eV per atom
Symmetry = R3m, No. 160
Crystal system = trigonal

Cell: 7.817 7.817 7.817 Å, 82.27 82.27 82.27°
Element x y z (fractional)
1 La 0.000 0.000 0.000
2 Y 0.340 0.340 0.340
3 Mg 0.023 0.023 0.502
4 Mg 0.023 0.502 0.023
5 Mg 0.166 0.671 0.671
6 Mg 0.319 0.319 0.822
7 Mg 0.319 0.822 0.319
8 Mg 0.367 0.667 0.971
9 Mg 0.367 0.971 0.667
10 Mg 0.502 0.023 0.023
11 Mg 0.568 0.568 0.568
12 Mg 0.667 0.367 0.971
13 Mg 0.667 0.971 0.367
14 Mg 0.671 0.166 0.671
15 Mg 0.671 0.671 0.166
16 Mg 0.766 0.766 0.766
17 Mg 0.822 0.319 0.319
18 Mg 0.971 0.367 0.667
19 Mg 0.971 0.667 0.367

[7]
A relaxed structure of La2YMg. Source: the Alexandria database, functional GGA-PBE.

Calculated values
D(E_F) = 1.46 states/eV/atom
DFT total energy = -4.440 eV per atom
Symmetry = R3m, No. 160
Crystal system = trigonal

Cell: 11.847 11.847 11.847 Å, 17.65 17.65 17.65°
Element x y z (fractional)
1 La 0.000 0.000 0.000
2 La 0.170 0.170 0.170
3 Y 0.752 0.752 0.752
4 Mg 0.585 0.585 0.585

[8]
A relaxed structure of La2Y2Mg. Source: the Alexandria database, functional GGA-PBE.

Calculated values
Polymorph energy (0 for the lowest one) = 137 meV/atom
D(E_F) = 1.76 states/eV/atom
DFT total energy = -4.719 eV per atom
Symmetry = P4/mbm, No. 127
Crystal system = tetragonal

Cell: 8.320 8.320 4.965 Å, 90.00 90.00 90.00°
Element x y z (fractional)
1 La 0.151 0.349 0.000
2 La 0.349 0.849 0.000
3 La 0.651 0.151 0.000
4 La 0.849 0.651 0.000
5 Y 0.147 0.647 0.500
6 Y 0.353 0.147 0.500
7 Y 0.647 0.853 0.500
8 Y 0.853 0.353 0.500
9 Mg 0.000 0.000 0.500
10 Mg 0.500 0.500 0.500

[9]
A relaxed structure of La2YMg. Source: the Alexandria database, functional GGA-PBE.

Calculated values
D(E_F) = 1.52 states/eV/atom
DFT total energy = -4.422 eV per atom
Symmetry = P2/m, No. 10
Crystal system = monoclinic

Cell: 3.482 5.950 6.259 Å, 90.00 97.39 90.00°
Element x y z (fractional)
1 La 0.212 0.000 0.269
2 La 0.788 0.000 0.731
3 Y 0.500 0.500 0.000
4 Mg 0.000 0.500 0.500

[10]
A relaxed structure of LaYMg. Source: the Alexandria database, functional GGA-PBE.

Calculated values
Polymorph energy (0 for the lowest one) = 7 meV/atom
D(E_F) = 1.29 states/eV/atom
DFT total energy = -4.379 eV per atom
Symmetry = I4mm, No. 107
Crystal system = tetragonal

Cell: 7.043 7.043 7.043 Å, 148.69 148.69 44.87°
Element x y z (fractional)
1 La 0.000 0.000 0.000
2 Y 0.312 0.312 0.000
3 Mg 0.666 0.666 0.000

[11]
A relaxed structure of La4Y3Mg. Source: the Alexandria database, functional GGA-PBE.

Calculated values
D(E_F) = 1.50 states/eV/atom
DFT total energy = -5.088 eV per atom
Symmetry = P4/mmm, No. 123
Crystal system = tetragonal

Cell: 3.759 3.759 19.287 Å, 90.00 90.00 90.00°
Element x y z (fractional)
1 La 0.000 0.000 0.112
2 La 0.000 0.000 0.372
3 La 0.000 0.000 0.628
4 La 0.000 0.000 0.888
5 Y 0.500 0.500 0.243
6 Y 0.500 0.500 0.500
7 Y 0.500 0.500 0.757
8 Mg 0.500 0.500 0.000

[12]
A relaxed structure of La5YMg4. Source: the Alexandria database, functional GGA-PBE.

Calculated values
D(E_F) = 1.28 states/eV/atom
DFT total energy = -3.826 eV per atom
Symmetry = P4/mmm, No. 123
Crystal system = tetragonal

Cell: 3.925 3.925 20.804 Å, 90.00 90.00 90.00°
Element x y z (fractional)
1 La 0.000 0.000 0.000
2 La 0.000 0.000 0.193
3 La 0.000 0.000 0.385
4 La 0.000 0.000 0.615
5 La 0.000 0.000 0.807
6 Y 0.500 0.500 0.500
7 Mg 0.500 0.500 0.096
8 Mg 0.500 0.500 0.289
9 Mg 0.500 0.500 0.711
10 Mg 0.500 0.500 0.904